VASP calculation (PBE) on a relaxed Hg2H2Pd3 crystal.

abc: 5.6505 4.9817 7.9521
angles: 90.00 119.48 90.00
With the nearest neighbours (Å) after each atom.
Element x y z (fractional)
Hg 0.1978 0.0671 0.3982  2 H 2.65-2.86, 6 Pd 2.73-2.93
Hg 0.1978 0.4329 0.8982  2 H 2.65-2.86, 6 Pd 2.73-2.93
Hg 0.8022 0.5671 0.1018  2 H 2.65-2.86, 6 Pd 2.73-2.93
Hg 0.8022 0.9329 0.6018  2 H 2.65-2.86, 6 Pd 2.73-2.93
H 0.3413 0.6387 0.6249  3 Pd 1.79-1.83
H 0.3413 0.8613 0.1249  3 Pd 1.79-1.83
H 0.6587 0.1387 0.8751  3 Pd 1.79-1.83
H 0.6587 0.3613 0.3751  3 Pd 1.79-1.83
Pd 0.0000 0.0000 0.0000  2 H 1.82
Pd 0.0000 0.5000 0.5000  2 H 1.82
Pd 0.3849 0.5969 0.2974  2 H 1.79-1.83
Pd 0.3849 0.9031 0.7974  2 H 1.79-1.83
Pd 0.6151 0.0969 0.2026  2 H 1.79-1.83
Pd 0.6151 0.4031 0.7026  2 H 1.79-1.83

## Properties
V: 13.9 A^3/atom
energy above the lowest structure with this stoichiometry: 0.022 eV/atom
crystal system: monoclinic
Fermi-level density of states: 0.19 states/eV per atom
energy: -3.36 eV/atom

---

VASP calculation (PBE) on a relaxed InPtBr2 crystal.

abc: 5.4919 3.9163 7.0974
angles: 90.00 112.53 90.00
With the nearest neighbours (Å) after each atom.
Element x y z (fractional)
In 0.0000 0.0000 0.0000  2 Pt 2.75
Pt 0.5000 0.0000 0.0000  4 Br 2.63, 2 In 2.75
Br 0.3665 0.5000 0.7326  2 Pt 2.63
Br 0.6335 0.5000 0.2674  2 Pt 2.63

## Properties
V: 35.3 A^3/atom
energy above the lowest structure with this stoichiometry: 0.156 eV/atom
uncorrected formation energy: -0.16 eV per atom
crystal system: monoclinic
Fermi-level density of states: 0.40 states/eV per atom
energy: -3.19 eV/atom